Version 1
A plane-wave DFT calculation with PBE-GGA was carried out for crystalline Zr2WBr at its relaxed geometry.

Unit cell a=4.9621 b=4.9621 c=3.2850 alpha=90.00 beta=90.00 gamma=100.56
Positions (direct):
Br (0.5000, 0.0000, 0.5000)
Zr (0.0000, 0.0000, 0.0000)
Zr (0.5000, 0.5000, 0.0000)
W (0.0000, 0.5000, 0.5000)



Version 2
A plane-wave DFT calculation with PBE-GGA was carried out for crystalline Zr2WBr at its relaxed geometry.

Unit cell a=3.3325 b=3.3325 c=7.9193 alpha=90.00 beta=90.00 gamma=90.00
Positions (direct):
Br (0.5000, 0.5000, 0.2500)
Zr (0.0000, 0.0000, 0.9520)
Zr (0.0000, 0.0000, 0.5480)
W (0.5000, 0.5000, 0.7500)



Short version: version 1 is the least stable of them.



Version 1
A plane-wave DFT calculation with PBE-GGA was carried out for crystalline Zr2WBr at its relaxed geometry.

Unit cell a=5.3266 b=5.3266 c=5.3266 alpha=139.82 beta=120.53 gamma=74.21
Positions (direct):
Br (0.2500, 0.7500, 0.5000)
Zr (0.0011, 0.0011, 0.0000)
Zr (0.4989, 0.4989, 0.0000)
W (0.7500, 0.2500, 0.5000)



Version 2
A plane-wave DFT calculation with PBE-GGA was carried out for crystalline Zr2WBr at its relaxed geometry.

Unit cell a=10.1156 b=10.1156 c=10.1156 alpha=18.57 beta=18.57 gamma=18.57
Site moments in Bohr magnetons follow the coordinates.
Positions (direct):
Br (0.5141, 0.5141, 0.5141)  0.00
Zr (0.0018, 0.0018, 0.0018)  0.10
Zr (0.2478, 0.2478, 0.2478)  -0.01
W (0.7363, 0.7363, 0.7363)  0.43



Short version: version 1 is the least stable of them.



Version 1
A plane-wave DFT calculation with PBE-GGA was carried out for crystalline Zr2W2Br at its relaxed geometry.

Unit cell a=8.0999 b=8.0999 c=3.3275 alpha=90.00 beta=90.00 gamma=90.00
Positions (direct):
Br (0.0000, 0.0000, 0.0000)
Br (0.5000, 0.5000, 0.0000)
Zr (0.3108, 0.8108, 0.0000)
Zr (0.8108, 0.6892, 0.0000)
Zr (0.6892, 0.1892, 0.0000)
Zr (0.1892, 0.3108, 0.0000)
W (0.1006, 0.6006, 0.5000)
W (0.6006, 0.8994, 0.5000)
W (0.8994, 0.3994, 0.5000)
W (0.3994, 0.1006, 0.5000)



Version 2
A plane-wave DFT calculation with PBE-GGA was carried out for crystalline Zr2W2Br at its relaxed geometry.

Unit cell a=3.7104 b=3.7104 c=8.4891 alpha=77.38 beta=77.38 gamma=90.00
Positions (direct):
Br (0.0000, 0.0000, 0.0000)
Zr (0.3867, 0.3867, 0.2266)
Zr (0.6133, 0.6133, 0.7734)
W (0.7500, 0.2500, 0.5000)
W (0.2500, 0.7500, 0.5000)



Short version: version 1 is the least stable of them.



Version 1
A plane-wave DFT calculation with PBE-GGA was carried out for crystalline ZrWBr3 at its relaxed geometry.

Unit cell a=5.3536 b=5.3536 c=5.3536 alpha=90.00 beta=90.00 gamma=90.00
Site moments in Bohr magnetons follow the coordinates.
Positions (direct):
Br (0.0000, 0.5000, 0.0000)  0.05
Br (0.0000, 0.0000, 0.5000)  0.05
Br (0.5000, 0.0000, 0.0000)  0.03
Zr (0.0000, 0.0000, 0.0000)  0.07
W (0.5000, 0.5000, 0.5000)  3.76



Version 2
A plane-wave DFT calculation with PBE-GGA was carried out for crystalline ZrWBr3 at its relaxed geometry.

Unit cell a=5.1436 b=5.1436 c=5.1436 alpha=90.00 beta=90.00 gamma=90.00
Site moments in Bohr magnetons follow the coordinates.
Positions (direct):
Br (0.0000, 0.5000, 0.0000)  0.00
Br (0.0000, 0.0000, 0.5000)  0.04
Br (0.5000, 0.0000, 0.0000)  0.04
Zr (0.5000, 0.5000, 0.5000)  1.74
W (0.0000, 0.0000, 0.0000)  1.77



Short version: version 2 is the least stable of them.



Version 1
A plane-wave DFT calculation with PBE-GGA was carried out for crystalline Y3Br at its relaxed geometry.

Unit cell a=6.2050 b=6.2050 c=6.2050 alpha=145.82 beta=117.40 gamma=73.29
Positions (direct):
Y (0.5739, 0.5000, 0.0739)
Y (0.9661, 0.3009, 0.6652)
Y (0.3643, 0.6991, 0.6652)
Br (0.9291, 0.0000, 0.9291)



Version 2
A plane-wave DFT calculation with PBE-GGA was carried out for crystalline Y3Br at its relaxed geometry.

Unit cell a=5.5641 b=5.5641 c=5.5641 alpha=60.00 beta=60.00 gamma=60.00
Positions (direct):
Y (0.2500, 0.2500, 0.2500)
Y (0.5000, 0.5000, 0.5000)
Y (0.7500, 0.7500, 0.7500)
Br (0.0000, 0.0000, 0.0000)



Short version: version 2 is the least stable of them.



Version 1
A plane-wave DFT calculation with PBE-GGA was carried out for crystalline Y5Br at its relaxed geometry.

Unit cell a=6.1712 b=6.1712 c=5.5830 alpha=90.00 beta=90.00 gamma=120.00
Site moments in Bohr magnetons follow the coordinates.
Positions (direct):
Y (0.6799, 0.0000, 0.0000)  0.07
Y (0.3201, 0.3201, 0.0000)  0.07
Y (0.0000, 0.6799, 0.0000)  0.07
Y (0.6667, 0.3333, 0.5000)  0.00
Y (0.3333, 0.6667, 0.5000)  0.00
Br (0.0000, 0.0000, 0.5000)  0.00



Version 2
A plane-wave DFT calculation with PBE-GGA was carried out for crystalline Y5Br at its relaxed geometry.

Unit cell a=6.5469 b=6.5469 c=5.9911 alpha=90.00 beta=90.00 gamma=120.00
Site moments in Bohr magnetons follow the coordinates.
Positions (direct):
Y (0.3333, 0.6667, 0.0000)  0.05
Y (0.6667, 0.3333, 0.0000)  0.05
Y (0.5000, 0.0000, 0.5000)  0.03
Y (0.0000, 0.5000, 0.5000)  0.03
Y (0.5000, 0.5000, 0.5000)  0.03
Br (0.0000, 0.0000, 0.0000)  0.00



Short version: version 2 is the least stable of them.



Version 1
A plane-wave DFT calculation with PBE-GGA was carried out for crystalline YZnBr3 at its relaxed geometry.

Unit cell a=5.1929 b=5.1929 c=5.1929 alpha=90.00 beta=90.00 gamma=90.00
Site moments in Bohr magnetons follow the coordinates.
Positions (direct):
Y (0.5000, 0.5000, 0.5000)  0.70
Zn (0.0000, 0.0000, 0.0000)  0.01
Br (0.0000, 0.5000, 0.0000)  -0.01
Br (0.0000, 0.0000, 0.5000)  0.00
Br (0.5000, 0.0000, 0.0000)  0.00



Version 2
A plane-wave DFT calculation with PBE-GGA was carried out for crystalline YZnBr3 at its relaxed geometry.

Unit cell a=5.6198 b=5.6198 c=5.6198 alpha=90.00 beta=90.00 gamma=90.00
Positions (direct):
Y (0.0000, 0.0000, 0.0000)
Zn (0.5000, 0.5000, 0.5000)
Br (0.0000, 0.5000, 0.0000)
Br (0.0000, 0.0000, 0.5000)
Br (0.5000, 0.0000, 0.0000)



Short version: version 1 is the least stable of them.



Version 1
A plane-wave DFT calculation with PBE-GGA was carried out for crystalline YZn3Br at its relaxed geometry.

Unit cell a=5.1184 b=5.1184 c=5.1184 alpha=90.00 beta=90.00 gamma=90.00
Positions (direct):
Y (0.5000, 0.5000, 0.5000)
Zn (0.0000, 0.5000, 0.0000)
Zn (0.0000, 0.0000, 0.5000)
Zn (0.5000, 0.0000, 0.0000)
Br (0.0000, 0.0000, 0.0000)



Version 2
A plane-wave DFT calculation with PBE-GGA was carried out for crystalline YZn3Br at its relaxed geometry.

Unit cell a=5.8226 b=5.8226 c=5.8226 alpha=90.00 beta=90.00 gamma=90.00
Positions (direct):
Y (0.0000, 0.0000, 0.0000)
Zn (0.0000, 0.5000, 0.0000)
Zn (0.0000, 0.0000, 0.5000)
Zn (0.5000, 0.0000, 0.0000)
Br (0.5000, 0.5000, 0.5000)



Short version: version 1 is the least stable of them.